[1]
Here is a relaxed structure of ZnBP2H4NO8 from the Open Quantum Materials Database. Energies are from GGA-PBE.

Cell: 7.3336 7.5617 7.7472 Å, 119.37 101.84 103.41°
Fractional coordinates of all 34 atoms:
B  0.3095  0.0892  0.0848
B  0.6905  0.9108  0.9152
O  0.2125  0.2107  0.2232
O  0.4223  0.0068  0.1875
O  0.2531  0.5923  0.9985
O  0.5777  0.9932  0.8125
O  0.7875  0.7893  0.7768
O  0.9743  0.0963  0.7527
O  0.6045  0.8188  0.2891
O  0.7469  0.4077  0.0015
O  0.9313  0.6916  0.4976
O  0.1664  0.9051  0.8702
O  0.8336  0.0949  0.1298
O  0.5419  0.7419  0.9172
O  0.0687  0.3084  0.5024
O  0.0257  0.9037  0.2473
O  0.3955  0.1812  0.7109
O  0.4581  0.2581  0.0828
P  0.0323  0.1189  0.2776
P  0.5460  0.2147  0.9037
P  0.4540  0.7853  0.0963
P  0.9677  0.8811  0.7224
H  0.1455  0.6562  0.4488
H  0.7143  0.4948  0.6369
H  0.2374  0.6436  0.2587
H  0.2857  0.5052  0.3631
H  0.8545  0.3438  0.5512
H  0.7626  0.3564  0.7413
H  0.6043  0.2148  0.4808
H  0.3957  0.7852  0.5192
N  0.2672  0.6494  0.3986
N  0.7328  0.3506  0.6014
Zn  0.8115  0.6980  0.2517
Zn  0.1885  0.3020  0.7483

Summary:
As for the crystal system: triclinic. The space group is P-1. The total energy is -217.5 eV/cell.

[2]
Here is a relaxed structure of SrCu2H8 from the Open Quantum Materials Database. Energies are from GGA-PBE.

Cell: 4.8612 4.8675 5.9185 Å, 114.11 113.94 90.01°
Fractional coordinates of all 11 atoms:
H  0.7550  0.5748  0.7880
H  0.4822  0.9368  0.2197
H  0.5637  0.0188  0.7737
H  0.9338  0.7456  0.2150
H  0.7487  0.2851  0.1993
H  0.0294  0.2138  0.7835
H  0.2892  0.4669  0.2071
H  0.2155  0.7549  0.7952
Sr  0.2500  0.2535  0.4977
Cu  0.0016  0.5004  0.9986
Cu  0.5029  0.9984  0.9969

Summary:
As for the crystal system: triclinic. The space group is P1. The total energy is -34.5 eV/cell.

[3]
Here is a relaxed structure of Ta11Co2 from the Open Quantum Materials Database. Energies are from GGA-PBE.

Cell: 9.8947 9.8947 9.8947 Å, 31.43 31.43 31.43°
Fractional coordinates of all 13 atoms:
Ta  0.4536  0.4536  0.4536
Ta  0.0939  0.5862  0.0939
Ta  0.8323  0.8323  0.8323
Ta  0.1677  0.1677  0.1677
Ta  0.0939  0.0939  0.5862
Ta  0.5464  0.5464  0.5464
Ta  0.5862  0.0939  0.0939
Ta  0.0000  0.0000  0.0000
Ta  0.4138  0.9061  0.9061
Ta  0.9061  0.9061  0.4138
Ta  0.9061  0.4138  0.9061
Co  0.3536  0.3536  0.3536
Co  0.6464  0.6464  0.6464

Summary:
The calculation puts the energy above the most stable polymorph in this dataset at 161 meV/atom. The magnetization is 0.1 Bohr magnetons per cell. As for the crystal system: trigonal. The space group is R-3m. As for the formation energy: 5.73 eV/f.u.

[4]
Here is a relaxed structure of Er2Hf2Mg from the Open Quantum Materials Database. Energies are from GGA-PBE.

Cell: 4.6934 4.6934 15.4006 Å, 90.00 90.00 120.00°
Fractional coordinates of all 10 atoms:
Er  0.3333  0.6667  0.0575
Er  0.3333  0.6667  0.4425
Er  0.6667  0.3333  0.5575
Er  0.6667  0.3333  0.9425
Hf  0.6667  0.3333  0.3377
Hf  0.3333  0.6667  0.6623
Hf  0.6667  0.3333  0.1623
Hf  0.3333  0.6667  0.8377
Mg  0.0000  0.0000  0.7500
Mg  0.0000  0.0000  0.2500

Summary:
The magnetization is 0.1 Bohr magnetons per cell. As for the crystal system: hexagonal. The space group is P6_3/mmc. The total energy is -52.6 eV/cell.

[5]
Here is a relaxed structure of RbTmNp from the Open Quantum Materials Database. Energies are from GGA-PBE.

Cell: 5.7973 5.7973 5.7973 Å, 60.00 60.00 60.00°
Fractional coordinates of all 3 atoms:
Tm  0.0000  0.0000  0.0000
Rb  0.7500  0.7500  0.7500
Np  0.2500  0.2500  0.2500

Summary:
The calculation puts the energy above the most stable polymorph in this dataset at 0 meV/atom. The magnetization is 7.3 Bohr magnetons per cell. As for the crystal system: cubic. The space group is F-43m.

[6]
Here is a relaxed structure of Na2HoPa3 from the Open Quantum Materials Database. Energies are from GGA-PBE.

Cell: 4.4916 4.4916 8.6979 Å, 90.00 90.00 90.00°
Fractional coordinates of all 6 atoms:
Pa  0.0000  0.5000  0.2313
Pa  0.5000  0.0000  0.7687
Pa  0.5000  0.5000  0.0000
Na  0.5000  0.0000  0.3691
Na  0.0000  0.5000  0.6309
Ho  0.0000  0.0000  0.0000

Summary:
The magnetization is 1.2 Bohr magnetons per cell. As for the crystal system: tetragonal. The space group is P-4m2. The total energy is -29.7 eV/cell.

[7]
Here is a relaxed structure of LuCdNi from the Open Quantum Materials Database. Energies are from GGA-PBE.

Cell: 4.6087 4.6087 4.6087 Å, 60.00 60.00 60.00°
Fractional coordinates of all 3 atoms:
Lu  0.0000  0.0000  0.0000
Cd  0.2500  0.2500  0.2500
Ni  0.7500  0.7500  0.7500

Summary:
The magnetization is 0.0 Bohr magnetons per cell. As for the crystal system: cubic. The space group is F-43m. As for the formation energy: 0.97 eV/f.u.

[8]
Here is a relaxed structure of Zr2Ta4Sn3N3 from the Open Quantum Materials Database. Energies are from GGA-PBE.

Cell: 5.7197 5.7197 14.0988 Å, 101.70 101.70 60.10°
Fractional coordinates of all 24 atoms:
N  0.3348  0.8289  0.0000
N  0.8289  0.3348  0.5000
N  0.6652  0.1711  0.0000
N  0.0000  0.5000  0.0000
N  0.1711  0.6652  0.5000
N  0.5000  0.0000  0.5000
Ta  0.9726  0.8084  0.9222
Ta  0.3078  0.1393  0.9225
Ta  0.6922  0.8607  0.0775
Ta  0.1393  0.3078  0.4225
Ta  0.8607  0.6922  0.5775
Ta  0.1916  0.0274  0.5778
Ta  0.8084  0.9726  0.4222
Ta  0.0274  0.1916  0.0778
Zr  0.3638  0.5301  0.0919
Zr  0.6362  0.4699  0.9081
Zr  0.5301  0.3638  0.5919
Zr  0.4699  0.6362  0.4081
Sn  0.9411  0.0589  0.7500
Sn  0.0589  0.9411  0.2500
Sn  0.5824  0.7761  0.7497
Sn  0.7761  0.5824  0.2497
Sn  0.2239  0.4176  0.7503
Sn  0.4176  0.2239  0.2503

Summary:
The magnetization is 0.0 Bohr magnetons per cell. As for the crystal system: monoclinic. The space group is C2/c. The total energy is -218.4 eV/cell.

[9]
Here is a relaxed structure of SmLuTlTe3 from the Open Quantum Materials Database. Energies are from GGA-PBE.

Cell: 7.9693 7.9693 12.0596 Å, 90.00 90.00 148.22°
Fractional coordinates of all 12 atoms:
Tl  0.2583  0.7417  0.7500
Tl  0.7417  0.2583  0.2500
Lu  0.0000  0.0000  0.5000
Lu  0.0000  0.0000  0.0000
Te  0.3594  0.6406  0.0164
Te  0.0622  0.9378  0.2500
Te  0.6406  0.3594  0.5164
Te  0.9378  0.0622  0.7500
Te  0.6406  0.3594  0.9836
Te  0.3594  0.6406  0.4836
Sm  0.5759  0.4241  0.7500
Sm  0.4241  0.5759  0.2500

Summary:
The calculation puts the energy above the most stable polymorph in this dataset at 58 meV/atom. The magnetization is 0.9 Bohr magnetons per cell. As for the crystal system: orthorhombic. The space group is Cmcm.

[10]
Here is a relaxed structure of KPmAg3 from the Open Quantum Materials Database. Energies are from GGA-PBE.

Cell: 9.9708 9.9708 6.8146 Å, 90.00 90.00 120.02°
Fractional coordinates of all 10 atoms:
Pm  0.5000  0.5000  0.5000
Pm  0.5000  0.5000  0.0000
Ag  0.2111  0.3552  0.2500
Ag  0.6448  0.7889  0.2500
Ag  0.3552  0.2111  0.7500
Ag  0.6444  0.3556  0.2500
Ag  0.3556  0.6444  0.7500
Ag  0.7889  0.6448  0.7500
K  0.8332  0.1668  0.2500
K  0.1668  0.8332  0.7500

Summary:
The magnetization is 0.0 Bohr magnetons per cell. As for the crystal system: orthorhombic. The space group is Cmcm. The total energy is -23.3 eV/cell.

[11]
Here is a relaxed structure of HfMgHgPt from the Open Quantum Materials Database. Energies are from GGA-PBE.

Cell: 4.6866 4.6866 4.6866 Å, 60.00 60.00 60.00°
Fractional coordinates of all 4 atoms:
Hf  0.0000  0.0000  0.0000
Pt  0.5000  0.5000  0.5000
Mg  0.7500  0.7500  0.7500
Hg  0.2500  0.2500  0.2500

Summary:
The calculation puts the energy above the most stable polymorph in this dataset at 333 meV/atom. The magnetization is 0.0 Bohr magnetons per cell. As for the crystal system: cubic. The space group is F-43m.

[12]
Here is a relaxed structure of HfGaPt2 from the Open Quantum Materials Database. Energies are from GGA-PBE.

Cell: 4.5574 4.5574 4.5574 Å, 60.00 60.00 60.00°
Fractional coordinates of all 4 atoms:
Pt  0.7500  0.7500  0.7500
Pt  0.0000  0.0000  0.0000
Ga  0.5000  0.5000  0.5000
Hf  0.2500  0.2500  0.2500

Summary:
The magnetization is 0.0 Bohr magnetons per cell. As for the crystal system: cubic. The space group is F-43m. The total energy is -27.8 eV/cell.

The evaluated volume for the records listed, in turn: 337 114 234 294 138 175 69 389 403 587 73 67 Å³ per cell.